--- P ---
An optimized crystal structure of Sb2AsIO. Source: the Alexandria database, functional PBE-GGA.

Computed properties:
Its crystal system is tetragonal. The space-group type is No. 123.

a = 4.8222 Å, b = 4.8222 Å, c = 4.9919 Å
α = 90.00°, β = 90.00°, γ = 90.00°
Element x y z (fractional)
Sb  0.0000  0.5000  0.0000
Sb  0.5000  0.0000  0.0000
As  0.0000  0.0000  0.5000
I  0.5000  0.5000  0.5000
O  0.5000  0.5000  0.0000

---

--- Q ---
An optimized crystal structure of Sb2AsIO. Source: the Alexandria database, functional PBE-GGA.

Computed properties:
Its crystal system is tetragonal. The space-group type is No. 123.

a = 5.4285 Å, b = 5.4285 Å, c = 5.4271 Å
α = 90.00°, β = 90.00°, γ = 90.00°
Element x y z (fractional)
Sb  0.0000  0.5000  0.0000
Sb  0.5000  0.0000  0.0000
As  0.0000  0.0000  0.0000
I  0.0000  0.0000  0.5000
O  0.5000  0.5000  0.5000

---

The structure with the least stability is Q.

---

--- P ---
An optimized crystal structure of SiAsI2O. Source: the Alexandria database, functional PBE-GGA.

Computed properties:
Its crystal system is tetragonal. The space-group type is No. 123.

a = 5.6200 Å, b = 5.6200 Å, c = 3.4944 Å
α = 90.00°, β = 90.00°, γ = 90.00°
Element x y z (fractional)
Si  0.0000  0.0000  0.0000
As  0.5000  0.5000  0.5000
I  0.0000  0.5000  0.0000
I  0.5000  0.0000  0.0000
O  0.0000  0.0000  0.5000

---

--- Q ---
An optimized crystal structure of SiAsI2O. Source: the Alexandria database, functional PBE-GGA.

Computed properties:
Its crystal system is tetragonal. The space-group type is No. 123.

a = 5.8210 Å, b = 5.8210 Å, c = 3.7968 Å
α = 90.00°, β = 90.00°, γ = 90.00°
Element x y z (fractional)
Si  0.0000  0.0000  0.0000
As  0.5000  0.5000  0.5000
I  0.0000  0.5000  0.5000
I  0.5000  0.0000  0.5000
O  0.5000  0.5000  0.0000

---

The structure with the least stability is Q.

---

--- P ---
An optimized crystal structure of SnAsI2O. Source: the Alexandria database, functional PBE-GGA.

Computed properties:
Its crystal system is tetragonal. The space-group type is No. 123.

a = 6.0244 Å, b = 6.0244 Å, c = 3.9764 Å
α = 90.00°, β = 90.00°, γ = 90.00°
Element x y z (fractional)
Sn  0.0000  0.0000  0.0000
As  0.5000  0.5000  0.5000
I  0.0000  0.5000  0.0000
I  0.5000  0.0000  0.0000
O  0.0000  0.0000  0.5000

---

--- Q ---
An optimized crystal structure of SnAsI2O. Source: the Alexandria database, functional PBE-GGA.

Computed properties:
Its crystal system is tetragonal. The space-group type is No. 123.

a = 5.9973 Å, b = 5.9973 Å, c = 3.8423 Å
α = 90.00°, β = 90.00°, γ = 90.00°
Element x y z (fractional)
Sn  0.0000  0.0000  0.0000
As  0.5000  0.5000  0.5000
I  0.0000  0.5000  0.5000
I  0.5000  0.0000  0.5000
O  0.5000  0.5000  0.0000

---

The structure with the least stability is P.

---

--- P ---
An optimized crystal structure of SrAsI2O. Source: the Alexandria database, functional PBE-GGA.

Computed properties:
Its crystal system is tetragonal. The space-group type is No. 123.

a = 6.4418 Å, b = 6.4418 Å, c = 4.2753 Å
α = 90.00°, β = 90.00°, γ = 90.00°
Element x y z (fractional)
Sr  0.0000  0.0000  0.0000
As  0.5000  0.5000  0.5000
I  0.0000  0.5000  0.0000
I  0.5000  0.0000  0.0000
O  0.0000  0.0000  0.5000

---

--- Q ---
An optimized crystal structure of SrAsI2O. Source: the Alexandria database, functional PBE-GGA.

Computed properties:
Its crystal system is tetragonal. The space-group type is No. 123.

a = 6.0940 Å, b = 6.0940 Å, c = 3.9576 Å
α = 90.00°, β = 90.00°, γ = 90.00°
Element x y z (fractional)
Sr  0.0000  0.0000  0.0000
As  0.5000  0.5000  0.5000
I  0.0000  0.5000  0.5000
I  0.5000  0.0000  0.5000
O  0.5000  0.5000  0.0000

---

The structure with the least stability is P.

---

--- P ---
An optimized crystal structure of TeAsI2O. Source: the Alexandria database, functional PBE-GGA.

Computed properties:
Its crystal system is tetragonal. The space-group type is No. 123.

a = 5.9897 Å, b = 5.9897 Å, c = 3.7986 Å
α = 90.00°, β = 90.00°, γ = 90.00°
Element x y z (fractional)
Te  0.0000  0.0000  0.0000
As  0.5000  0.5000  0.5000
I  0.0000  0.5000  0.5000
I  0.5000  0.0000  0.5000
O  0.5000  0.5000  0.0000

---

--- Q ---
An optimized crystal structure of TeAsI2O. Source: the Alexandria database, functional PBE-GGA.

Computed properties:
Its crystal system is tetragonal. The space-group type is No. 123.

a = 5.6262 Å, b = 5.6262 Å, c = 5.6112 Å
α = 90.00°, β = 90.00°, γ = 90.00°
Element x y z (fractional)
Te  0.0000  0.0000  0.0000
As  0.0000  0.0000  0.5000
I  0.0000  0.5000  0.5000
I  0.5000  0.0000  0.5000
O  0.5000  0.5000  0.0000

---

The structure with the least stability is Q.

---

--- P ---
An optimized crystal structure of TeAsI2O. Source: the Alexandria database, functional PBE-GGA.

Computed properties:
Its crystal system is tetragonal. The space-group type is No. 123.

a = 6.1779 Å, b = 6.1779 Å, c = 4.0511 Å
α = 90.00°, β = 90.00°, γ = 90.00°
Element x y z (fractional)
Te  0.0000  0.0000  0.0000
As  0.5000  0.5000  0.5000
I  0.0000  0.5000  0.0000
I  0.5000  0.0000  0.0000
O  0.0000  0.0000  0.5000

---

--- Q ---
An optimized crystal structure of TeAsI2O. Source: the Alexandria database, functional PBE-GGA.

Computed properties:
Its crystal system is tetragonal. The space-group type is No. 123.

a = 5.2215 Å, b = 5.2215 Å, c = 4.5659 Å
α = 90.00°, β = 90.00°, γ = 90.00°
Element x y z (fractional)
Te  0.0000  0.0000  0.0000
As  0.5000  0.5000  0.0000
I  0.0000  0.5000  0.5000
I  0.5000  0.0000  0.5000
O  0.0000  0.0000  0.5000

---

The structure with the least stability is Q.

---

--- P ---
An optimized crystal structure of TlAsI2O. Source: the Alexandria database, functional PBE-GGA.

Computed properties:
Its crystal system is tetragonal. The space-group type is No. 123.

a = 6.1037 Å, b = 6.1037 Å, c = 4.0570 Å
α = 90.00°, β = 90.00°, γ = 90.00°
Element x y z (fractional)
Tl  0.0000  0.0000  0.0000
As  0.5000  0.5000  0.5000
I  0.0000  0.5000  0.0000
I  0.5000  0.0000  0.0000
O  0.0000  0.0000  0.5000

---

--- Q ---
An optimized crystal structure of TlAsI2O. Source: the Alexandria database, functional PBE-GGA.

Computed properties:
Its crystal system is tetragonal. The space-group type is No. 123.

a = 6.0725 Å, b = 6.0725 Å, c = 3.8923 Å
α = 90.00°, β = 90.00°, γ = 90.00°
Element x y z (fractional)
Tl  0.0000  0.0000  0.0000
As  0.5000  0.5000  0.5000
I  0.0000  0.5000  0.5000
I  0.5000  0.0000  0.5000
O  0.5000  0.5000  0.0000

---

The structure with the least stability is P.